[1]
Here is crystalline SrAcPd2 at its relaxed geometry from Alexandria. Energies are from GGA-PBE.

Cell and atoms, written as CIF:
```
data_SrAcPd2
_space_group_name_H-M_alt 'F m -3 m'
_space_group_IT_number 225
_space_group_name_Hall '-F 4 2 3'
_cell_length_a 7.530
_cell_length_b 7.530
_cell_length_c 7.530
_cell_angle_alpha 90.00
_cell_angle_beta 90.00
_cell_angle_gamma 90.00
loop_
_atom_site_label
_atom_site_type_symbol
_atom_site_fract_x
_atom_site_fract_y
_atom_site_fract_z
Sr1 Sr 0.000 0.000 0.000
Ac1 Ac 0.000 0.000 0.500
Pd1 Pd 0.250 0.250 0.250
```

The energy of formation from the pure elements comes out at -0.66 eV/atom. For the density, the calculation gives 8.20 g cm⁻³. The value obtained for the total energy is -4.699 eV/atom. For the energy above the most stable polymorph in this dataset, the calculation gives 71 meV/atom.

---

[2]
Here is crystalline SrAc4Pd2 at its relaxed geometry from Alexandria. Energies are from GGA-PBE.

Cell and atoms, written as CIF:
```
data_SrAc4Pd2
_space_group_name_H-M_alt 'P 1 21/m 1'
_space_group_IT_number 11
_space_group_name_Hall '-P 2yb'
_cell_length_a 7.885
_cell_length_b 7.511
_cell_length_c 9.679
_cell_angle_alpha 90.00
_cell_angle_beta 112.84
_cell_angle_gamma 90.00
loop_
_atom_site_label
_atom_site_type_symbol
_atom_site_fract_x
_atom_site_fract_y
_atom_site_fract_z
Sr1 Sr 0.029 0.250 0.294
Ac1 Ac 0.252 0.250 0.710
Ac2 Ac 0.287 0.501 0.072
Ac3 Ac 0.328 0.750 0.500
Pd1 Pd 0.026 0.750 0.153
Pd2 Pd 0.389 0.750 0.855
```

The energy of formation from the pure elements comes out at -0.38 eV/atom. For the density, the calculation gives 7.60 g cm⁻³. The value obtained for the total energy is -4.450 eV/atom.

---

[3]
Here is crystalline SrAcPd2 at its relaxed geometry from Alexandria. Energies are from GGA-PBE.

Cell and atoms, written as CIF:
```
data_SrAcPd2
_space_group_name_H-M_alt 'P 1 m 1'
_space_group_IT_number 6
_space_group_name_Hall 'P -2y'
_cell_length_a 4.179
_cell_length_b 4.644
_cell_length_c 6.150
_cell_angle_alpha 90.00
_cell_angle_beta 109.78
_cell_angle_gamma 90.00
loop_
_atom_site_label
_atom_site_type_symbol
_atom_site_fract_x
_atom_site_fract_y
_atom_site_fract_z
Sr1 Sr 0.000 0.000 0.000
Ac1 Ac 0.727 0.500 0.454
Pd1 Pd 0.281 0.000 0.560
Pd2 Pd 0.438 0.500 0.876
```

The energy of formation from the pure elements comes out at -0.73 eV/atom. For the density, the calculation gives 7.80 g cm⁻³. The value obtained for the total energy is -4.770 eV/atom. For the energy above the most stable polymorph in this dataset, the calculation gives 0 meV/atom.

---

[4]
Here is crystalline SrAcPd2 at its relaxed geometry from Alexandria. Energies are from GGA-PBE.

Cell and atoms, written as CIF:
```
data_SrAcPd2
_space_group_name_H-M_alt 'P 4/m m m'
_space_group_IT_number 123
_space_group_name_Hall '-P 4 2'
_cell_length_a 3.790
_cell_length_b 3.790
_cell_length_c 7.544
_cell_angle_alpha 90.00
_cell_angle_beta 90.00
_cell_angle_gamma 90.00
loop_
_atom_site_label
_atom_site_type_symbol
_atom_site_fract_x
_atom_site_fract_y
_atom_site_fract_z
Sr1 Sr 0.000 0.000 0.000
Ac1 Ac 0.000 0.000 0.500
Pd1 Pd 0.500 0.500 0.272
```

The energy of formation from the pure elements comes out at -0.67 eV/atom. For the density, the calculation gives 8.08 g cm⁻³. The value obtained for the total energy is -4.717 eV/atom. For the energy above the most stable polymorph in this dataset, the calculation gives 52 meV/atom.

---

[5]
Here is crystalline SrAc4Pd4 at its relaxed geometry from Alexandria. Energies are from GGA-PBE.

Cell and atoms, written as CIF:
```
data_SrAc4Pd4
_space_group_name_H-M_alt 'C 1 2/m 1'
_space_group_IT_number 12
_space_group_name_Hall '-C 2y'
_cell_length_a 14.056
_cell_length_b 6.189
_cell_length_c 9.935
_cell_angle_alpha 90.00
_cell_angle_beta 134.93
_cell_angle_gamma 90.00
loop_
_atom_site_label
_atom_site_type_symbol
_atom_site_fract_x
_atom_site_fract_y
_atom_site_fract_z
Sr1 Sr 0.000 0.000 0.000
Ac1 Ac 0.106 0.500 0.420
Ac2 Ac 0.186 0.000 0.791
Pd1 Pd 0.106 0.000 0.409
Pd2 Pd 0.197 0.500 0.804
```

The energy of formation from the pure elements comes out at -0.69 eV/atom. For the density, the calculation gives 7.72 g cm⁻³. The value obtained for the total energy is -5.008 eV/atom.

---

[6]
Here is crystalline SrAc2Pd2 at its relaxed geometry from Alexandria. Energies are from GGA-PBE.

Cell and atoms, written as CIF:
```
data_SrAc2Pd2
_space_group_name_H-M_alt 'P 1 21/m 1'
_space_group_IT_number 11
_space_group_name_Hall '-P 2yb'
_cell_length_a 6.127
_cell_length_b 4.701
_cell_length_c 11.875
_cell_angle_alpha 90.00
_cell_angle_beta 100.10
_cell_angle_gamma 90.00
loop_
_atom_site_label
_atom_site_type_symbol
_atom_site_fract_x
_atom_site_fract_y
_atom_site_fract_z
Sr1 Sr 0.049 0.250 0.289
Ac1 Ac 0.270 0.750 0.040
Ac2 Ac 0.386 0.250 0.616
Pd1 Pd 0.157 0.750 0.478
Pd2 Pd 0.205 0.250 0.874
```

The energy of formation from the pure elements comes out at -0.59 eV/atom. For the density, the calculation gives 7.44 g cm⁻³. The value obtained for the total energy is -4.643 eV/atom. For the energy above the most stable polymorph in this dataset, the calculation gives 31 meV/atom.

---

[7]
Here is crystalline SrAc6Pd4 at its relaxed geometry from Alexandria. Energies are from GGA-PBE.

Cell and atoms, written as CIF:
```
data_SrAc6Pd4
_space_group_name_H-M_alt 'C 1 m 1'
_space_group_IT_number 8
_space_group_name_Hall 'C -2y'
_cell_length_a 8.475
_cell_length_b 12.040
_cell_length_c 7.748
_cell_angle_alpha 90.00
_cell_angle_beta 105.55
_cell_angle_gamma 90.00
loop_
_atom_site_label
_atom_site_type_symbol
_atom_site_fract_x
_atom_site_fract_y
_atom_site_fract_z
Sr1 Sr 0.000 0.000 0.000
Ac1 Ac 0.048 0.337 0.061
Ac2 Ac 0.183 0.246 0.626
Ac3 Ac 0.374 0.000 0.420
Ac4 Ac 0.384 0.500 0.486
Pd1 Pd 0.141 0.500 0.757
Pd2 Pd 0.272 0.000 0.769
Pd3 Pd 0.370 0.263 0.329
```

The energy of formation from the pure elements comes out at -0.49 eV/atom. For the density, the calculation gives 8.18 g cm⁻³. The value obtained for the total energy is -4.771 eV/atom.

---

[8]
Here is crystalline SrAcPd2 at its relaxed geometry from Alexandria. Energies are from GGA-PBE.

Cell and atoms, written as CIF:
```
data_SrAcPd2
_space_group_name_H-M_alt 'R -3 m'
_space_group_IT_number 166
_space_group_name_Hall '-R 3 2"'
_cell_length_a 4.3853
_cell_length_b 4.3853
_cell_length_c 21.8730
_cell_angle_alpha 90.00
_cell_angle_beta 90.00
_cell_angle_gamma 120.00
loop_
_atom_site_label
_atom_site_type_symbol
_atom_site_fract_x
_atom_site_fract_y
_atom_site_fract_z
Sr1 Sr 0.0000 0.0000 0.0000
Ac1 Ac 0.0000 0.0000 0.5000
Pd1 Pd 0.0000 0.0000 0.2455
```

The energy of formation from the pure elements comes out at -0.64 eV/atom. For the density, the calculation gives 7.21 g cm⁻³. The value obtained for the total energy is -4.680 eV/atom. For the energy above the most stable polymorph in this dataset, the calculation gives 90 meV/atom.

---

[9]
Here is crystalline SrAcPd3 at its relaxed geometry from Alexandria. Energies are from GGA-PBE.

Cell and atoms, written as CIF:
```
data_SrAcPd3
_space_group_name_H-M_alt 'C m c m'
_space_group_IT_number 63
_space_group_name_Hall '-C 2c 2'
_cell_length_a 4.266
_cell_length_b 27.018
_cell_length_c 4.536
_cell_angle_alpha 90.00
_cell_angle_beta 90.00
_cell_angle_gamma 90.00
loop_
_atom_site_label
_atom_site_type_symbol
_atom_site_fract_x
_atom_site_fract_y
_atom_site_fract_z
Sr1 Sr 0.000 0.068 0.250
Ac1 Ac 0.000 0.200 0.750
Pd1 Pd 0.000 0.318 0.750
Pd2 Pd 0.000 0.378 0.250
Pd3 Pd 0.000 0.475 0.250
```

The energy of formation from the pure elements comes out at -0.67 eV/atom. For the density, the calculation gives 8.05 g cm⁻³. The value obtained for the total energy is -4.943 eV/atom. For the energy above the most stable polymorph in this dataset, the calculation gives 34 meV/atom.

---

[10]
Here is crystalline Sr4AcPd5 at its relaxed geometry from Alexandria. Energies are from GGA-PBE.

Cell and atoms, written as CIF:
```
data_Sr4AcPd5
_space_group_name_H-M_alt 'P 4/m m m'
_space_group_IT_number 123
_space_group_name_Hall '-P 4 2'
_cell_length_a 3.768
_cell_length_b 3.768
_cell_length_c 18.681
_cell_angle_alpha 90.00
_cell_angle_beta 90.00
_cell_angle_gamma 90.00
loop_
_atom_site_label
_atom_site_type_symbol
_atom_site_fract_x
_atom_site_fract_y
_atom_site_fract_z
Sr1 Sr 0.000 0.000 0.098
Sr2 Sr 0.000 0.000 0.295
Ac1 Ac 0.000 0.000 0.500
Pd1 Pd 0.500 0.500 0.000
Pd2 Pd 0.500 0.500 0.199
Pd3 Pd 0.500 0.500 0.406
```

The energy of formation from the pure elements comes out at -0.60 eV/atom. For the density, the calculation gives 6.95 g cm⁻³. The value obtained for the total energy is -4.282 eV/atom.